Compound: BaScCuP2
Source: the Alexandria database
Functional: PBE
Structure: relaxed

calculated volume	255.7	Å³ per cell
size of the total moment	0.0	μB per cell
ΔH_f (0 K)	-0.89	eV/atom

The structure in CIF format:
```
data_BaScCuP2
_chemical_formula_sum 'Ba2 Sc2 Cu2 P4'
_cell_length_a 7.338
_cell_length_b 5.134
_cell_length_c 7.043
_cell_angle_alpha 90.00
_cell_angle_beta 105.51
_cell_angle_gamma 90.00
_space_group_name_H-M_alt 'P 1'
_space_group_IT_number 1
_space_group_name_Hall 'P 1'
loop_
_atom_site_label
_atom_site_type_symbol
_atom_site_fract_x
_atom_site_fract_y
_atom_site_fract_z
Ba1 Ba 0.000 0.218 0.250
Ba2 Ba 0.000 0.782 0.750
Sc1 Sc 0.500 0.479 0.750
Sc2 Sc 0.500 0.521 0.250
Cu1 Cu 0.500 0.000 0.000
Cu2 Cu 0.500 0.000 0.500
P1 P 0.271 0.293 0.947
P2 P 0.271 0.707 0.447
P3 P 0.729 0.293 0.553
P4 P 0.729 0.707 0.053
```

Compound: BaCu2PSe4
Source: the Alexandria database
Functional: PBE
Structure: relaxed

calculated volume	209.4	Å³ per cell
formation energy (no corrections)	-0.514	eV/atom
size of the total moment	0.0	μB per cell

The structure in CIF format:
```
data_BaCu2PSe4
_chemical_formula_sum 'Ba1 Cu2 P1 Se4'
_cell_length_a 6.561
_cell_length_b 6.561
_cell_length_c 6.561
_cell_angle_alpha 121.17
_cell_angle_beta 108.65
_cell_angle_gamma 99.36
_space_group_name_H-M_alt 'P 1'
_space_group_IT_number 1
_space_group_name_Hall 'P 1'
loop_
_atom_site_label
_atom_site_type_symbol
_atom_site_fract_x
_atom_site_fract_y
_atom_site_fract_z
Ba1 Ba 0.000 0.000 0.000
Cu1 Cu 0.344 0.844 0.500
Cu2 Cu 0.656 0.156 0.500
P1 P 0.500 0.500 0.000
Se1 Se 0.154 0.124 0.613
Se2 Se 0.490 0.876 0.031
Se3 Se 0.510 0.541 0.387
Se4 Se 0.846 0.459 0.969
```

Compound: BaCuPSe4
Source: the Alexandria database
Functional: PBE
Structure: relaxed

calculated volume	216.0	Å³ per cell
formation energy (no corrections)	-0.666	eV/atom
size of the total moment	0.0	μB per cell

The structure in CIF format:
```
data_BaCuPSe4
_chemical_formula_sum 'Ba1 Cu1 P1 Se4'
_cell_length_a 6.565
_cell_length_b 6.565
_cell_length_c 6.565
_cell_angle_alpha 112.58
_cell_angle_beta 112.58
_cell_angle_gamma 103.42
_space_group_name_H-M_alt 'P 1'
_space_group_IT_number 1
_space_group_name_Hall 'P 1'
loop_
_atom_site_label
_atom_site_type_symbol
_atom_site_fract_x
_atom_site_fract_y
_atom_site_fract_z
Ba1 Ba 0.000 0.000 0.000
Cu1 Cu 0.500 0.500 0.000
P1 P 0.250 0.750 0.500
Se1 Se 0.229 0.634 0.117
Se2 Se 0.366 0.483 0.595
Se3 Se 0.517 0.113 0.883
Se4 Se 0.887 0.771 0.405
```

Compound: BaCuSiP2
Source: the Alexandria database
Functional: PBE
Structure: relaxed

calculated volume	227.4	Å³ per cell
formation energy (no corrections)	-0.389	eV/atom
size of the total moment	0.0	μB per cell

The structure in CIF format:
```
data_BaCuSiP2
_chemical_formula_sum 'Ba2 Cu2 Si2 P4'
_cell_length_a 6.907
_cell_length_b 6.907
_cell_length_c 6.163
_cell_angle_alpha 90.00
_cell_angle_beta 90.00
_cell_angle_gamma 129.33
_space_group_name_H-M_alt 'P 1'
_space_group_IT_number 1
_space_group_name_Hall 'P 1'
loop_
_atom_site_label
_atom_site_type_symbol
_atom_site_fract_x
_atom_site_fract_y
_atom_site_fract_z
Ba1 Ba 0.250 0.750 0.751
Ba2 Ba 0.750 0.250 0.249
Cu1 Cu 0.000 0.000 0.000
Cu2 Cu 0.500 0.500 0.000
Si1 Si 0.250 0.250 0.500
Si2 Si 0.750 0.750 0.500
P1 P 0.101 0.899 0.292
P2 P 0.399 0.601 0.292
P3 P 0.601 0.399 0.708
P4 P 0.899 0.101 0.708
```

Compound: BaCuSnP
Source: the Alexandria database
Functional: PBE
Structure: relaxed

calculated volume	208.9	Å³ per cell
size of the total moment	0.0	μB per cell
ΔH_f (0 K)	-0.49	eV/atom

The structure in CIF format:
```
data_BaCuSnP
_chemical_formula_sum 'Ba2 Cu2 Sn2 P2'
_cell_length_a 4.195
_cell_length_b 4.195
_cell_length_c 11.871
_cell_angle_alpha 90.00
_cell_angle_beta 90.00
_cell_angle_gamma 90.00
_space_group_name_H-M_alt 'P 1'
_space_group_IT_number 1
_space_group_name_Hall 'P 1'
loop_
_atom_site_label
_atom_site_type_symbol
_atom_site_fract_x
_atom_site_fract_y
_atom_site_fract_z
Ba1 Ba 0.250 0.250 0.224
Ba2 Ba 0.750 0.750 0.776
Cu1 Cu 0.250 0.750 0.000
Cu2 Cu 0.750 0.250 0.000
Sn1 Sn 0.250 0.750 0.500
Sn2 Sn 0.750 0.250 0.500
P1 P 0.250 0.250 0.899
P2 P 0.750 0.750 0.101
```

Compound: BaSrCu2P2
Source: the Alexandria database
Functional: PBE
Structure: relaxed

calculated volume	134.1	Å³ per cell
size of the total moment	0.0	μB per cell
ΔH_f (0 K)	-0.78	eV/atom

The structure in CIF format:
```
data_BaSrCu2P2
_chemical_formula_sum 'Ba1 Sr1 Cu2 P2'
_cell_length_a 4.165
_cell_length_b 4.165
_cell_length_c 8.927
_cell_angle_alpha 90.00
_cell_angle_beta 90.00
_cell_angle_gamma 120.00
_space_group_name_H-M_alt 'P 1'
_space_group_IT_number 1
_space_group_name_Hall 'P 1'
loop_
_atom_site_label
_atom_site_type_symbol
_atom_site_fract_x
_atom_site_fract_y
_atom_site_fract_z
Ba1 Ba 0.000 0.000 0.000
Sr1 Sr 0.000 0.000 0.500
Cu1 Cu 0.333 0.667 0.738
Cu2 Cu 0.667 0.333 0.262
P1 P 0.333 0.667 0.263
P2 P 0.667 0.333 0.737
```

Compound: BaCuTcP
Source: the Alexandria database
Functional: PBE
Structure: relaxed

calculated volume	182.7	Å³ per cell
size of the total moment	0.0	μB per cell
ΔH_f (0 K)	-0.37	eV/atom

The structure in CIF format:
```
data_BaCuTcP
_chemical_formula_sum 'Ba2 Cu2 Tc2 P2'
_cell_length_a 3.965
_cell_length_b 3.965
_cell_length_c 11.622
_cell_angle_alpha 90.00
_cell_angle_beta 90.00
_cell_angle_gamma 90.00
_space_group_name_H-M_alt 'P 1'
_space_group_IT_number 1
_space_group_name_Hall 'P 1'
loop_
_atom_site_label
_atom_site_type_symbol
_atom_site_fract_x
_atom_site_fract_y
_atom_site_fract_z
Ba1 Ba 0.250 0.250 0.234
Ba2 Ba 0.750 0.750 0.766
Cu1 Cu 0.250 0.750 0.000
Cu2 Cu 0.750 0.250 0.000
Tc1 Tc 0.250 0.750 0.500
Tc2 Tc 0.750 0.250 0.500
P1 P 0.250 0.250 0.614
P2 P 0.750 0.750 0.386
```

Compound: Ba2UCu2P4
Source: the Alexandria database
Functional: PBE
Structure: relaxed

calculated volume	206.8	Å³ per cell
size of the total moment	0.2	μB per cell
ΔH_f (0 K)	-0.78	eV/atom

The structure in CIF format:
```
data_Ba2UCu2P4
_chemical_formula_sum 'Ba2 U1 Cu2 P4'
_cell_length_a 7.579
_cell_length_b 7.579
_cell_length_c 7.390
_cell_angle_alpha 108.78
_cell_angle_beta 108.78
_cell_angle_gamma 31.12
_space_group_name_H-M_alt 'P 1'
_space_group_IT_number 1
_space_group_name_Hall 'P 1'
loop_
_atom_site_label
_atom_site_type_symbol
_atom_site_fract_x
_atom_site_fract_y
_atom_site_fract_z
Ba1 Ba 0.140 0.140 0.084
Ba2 Ba 0.860 0.860 0.916
U1 U 0.000 0.000 0.500
Cu1 Cu 0.325 0.325 0.517
Cu2 Cu 0.675 0.675 0.483
P1 P 0.195 0.195 0.662
P2 P 0.485 0.485 0.733
P3 P 0.515 0.515 0.267
P4 P 0.805 0.805 0.338
```

Compound: BaZnCuP2
Source: the Alexandria database
Functional: PBE
Structure: relaxed

calculated volume	222.0	Å³ per cell
size of the total moment	0.0	μB per cell
ΔH_f (0 K)	-0.53	eV/atom

The structure in CIF format:
```
data_BaZnCuP2
_chemical_formula_sum 'Ba2 Zn2 Cu2 P4'
_cell_length_a 6.341
_cell_length_b 6.341
_cell_length_c 9.173
_cell_angle_alpha 94.85
_cell_angle_beta 94.85
_cell_angle_gamma 37.18
_space_group_name_H-M_alt 'P 1'
_space_group_IT_number 1
_space_group_name_Hall 'P 1'
loop_
_atom_site_label
_atom_site_type_symbol
_atom_site_fract_x
_atom_site_fract_y
_atom_site_fract_z
Ba1 Ba 0.155 0.155 0.175
Ba2 Ba 0.845 0.845 0.825
Zn1 Zn 0.440 0.440 0.307
Zn2 Zn 0.560 0.560 0.693
Cu1 Cu 0.179 0.179 0.566
Cu2 Cu 0.821 0.821 0.434
P1 P 0.128 0.128 0.816
P2 P 0.376 0.376 0.558
P3 P 0.624 0.624 0.442
P4 P 0.872 0.872 0.184
```

Compound: Ba2ZrCuP
Source: the Alexandria database
Functional: PBE
Structure: relaxed

calculated volume	174.9	Å³ per cell
size of the total moment	0.0	μB per cell
ΔH_f (0 K)	0.43	eV/atom

The structure in CIF format:
```
data_Ba2ZrCuP
_chemical_formula_sum 'Ba2 Zr1 Cu1 P1'
_cell_length_a 5.916
_cell_length_b 5.916
_cell_length_c 4.997
_cell_angle_alpha 90.00
_cell_angle_beta 90.00
_cell_angle_gamma 90.00
_space_group_name_H-M_alt 'P 1'
_space_group_IT_number 1
_space_group_name_Hall 'P 1'
loop_
_atom_site_label
_atom_site_type_symbol
_atom_site_fract_x
_atom_site_fract_y
_atom_site_fract_z
Ba1 Ba 0.000 0.500 0.000
Ba2 Ba 0.500 0.000 0.000
Zr1 Zr 0.000 0.000 0.500
Cu1 Cu 0.000 0.000 0.000
P1 P 0.500 0.500 0.500
```

Compound: BaZr2CuP4
Source: the Alexandria database
Functional: PBE
Structure: relaxed

calculated volume	342.0	Å³ per cell
size of the total moment	0.0	μB per cell
ΔH_f (0 K)	-0.92	eV/atom

The structure in CIF format:
```
data_BaZr2CuP4
_chemical_formula_sum 'Ba2 Zr4 Cu2 P8'
_cell_length_a 6.944
_cell_length_b 6.944
_cell_length_c 13.199
_cell_angle_alpha 90.00
_cell_angle_beta 90.00
_cell_angle_gamma 147.49
_space_group_name_H-M_alt 'P 1'
_space_group_IT_number 1
_space_group_name_Hall 'P 1'
loop_
_atom_site_label
_atom_site_type_symbol
_atom_site_fract_x
_atom_site_fract_y
_atom_site_fract_z
Ba1 Ba 0.112 0.888 0.750
Ba2 Ba 0.888 0.112 0.250
Zr1 Zr 0.370 0.630 0.558
Zr2 Zr 0.370 0.630 0.942
Zr3 Zr 0.630 0.370 0.058
Zr4 Zr 0.630 0.370 0.442
Cu1 Cu 0.159 0.841 0.250
Cu2 Cu 0.841 0.159 0.750
P1 P 0.000 0.000 0.000
P2 P 0.000 0.000 0.500
P3 P 0.258 0.742 0.108
P4 P 0.258 0.742 0.392
P5 P 0.430 0.570 0.750
P6 P 0.570 0.430 0.250
P7 P 0.742 0.258 0.608
P8 P 0.742 0.258 0.892
```

Compound: BaPa4Cu3S12
Source: the Alexandria database
Functional: PBE
Structure: relaxed

calculated volume	470.4	Å³ per cell
formation energy (no corrections)	-1.224	eV/atom
size of the total moment	1.5	μB per cell

The structure in CIF format:
```
data_BaPa4Cu3S12
_chemical_formula_sum 'Ba1 Pa4 Cu3 S12'
_cell_length_a 8.486
_cell_length_b 8.486
_cell_length_c 8.486
_cell_angle_alpha 109.47
_cell_angle_beta 109.47
_cell_angle_gamma 109.47
_space_group_name_H-M_alt 'P 1'
_space_group_IT_number 1
_space_group_name_Hall 'P 1'
loop_
_atom_site_label
_atom_site_type_symbol
_atom_site_fract_x
_atom_site_fract_y
_atom_site_fract_z
Ba1 Ba 0.000 0.000 0.000
Pa1 Pa 0.000 0.000 0.500
Pa2 Pa 0.000 0.500 0.000
Pa3 Pa 0.500 0.000 0.000
Pa4 Pa 0.500 0.500 0.500
Cu1 Cu 0.000 0.500 0.500
Cu2 Cu 0.500 0.000 0.500
Cu3 Cu 0.500 0.500 0.000
S1 S 0.151 0.315 0.836
S2 S 0.164 0.479 0.315
S3 S 0.164 0.849 0.685
S4 S 0.315 0.164 0.479
S5 S 0.315 0.836 0.151
S6 S 0.479 0.315 0.164
S7 S 0.521 0.685 0.836
S8 S 0.685 0.164 0.849
S9 S 0.685 0.836 0.521
S10 S 0.836 0.151 0.315
S11 S 0.836 0.521 0.685
S12 S 0.849 0.685 0.164
```

Q: Which of these has the highest calculated volume?
A: BaPa4Cu3S12